A relaxed structure of Sr2NpGa3Au12, computed with PBE.

- E_tot (eV/atom) = -3.7851
- calculated volume (Å³/cell) = 426.1
- formation enthalpy at 0 K (eV per formula unit) = -3.4
- space group = R-3m, No. 166
- calculated density (g/cm3) = 11.63
- magnetization (μB/f.u.) = 3.793

abc: 11.025 11.025 11.025
angles: 36.58 36.58 36.58
Atoms (fractional coordinates):
1 Sr 0.137 0.137 0.137
2 Sr 0.863 0.863 0.863
3 Np 0.500 0.500 0.500
4 Ga 0.000 0.500 0.500
5 Ga 0.500 0.000 0.500
6 Ga 0.500 0.500 0.000
7 Au 0.063 0.630 0.630
8 Au 0.093 0.093 0.684
9 Au 0.093 0.684 0.093
10 Au 0.316 0.907 0.907
11 Au 0.370 0.370 0.937
12 Au 0.370 0.937 0.370
13 Au 0.630 0.063 0.630
14 Au 0.630 0.630 0.063
15 Au 0.684 0.093 0.093
16 Au 0.907 0.316 0.907
17 Au 0.907 0.907 0.316
18 Au 0.937 0.370 0.370